A geometry-optimized Ta3C structure, computed with PBE.

Structure (POSCAR):
```
Ta3C
1.0
4.581 0.000 0.000
0.000 5.105 0.000
0.000 0.000 5.637
Ta C
6 2
direct
0.500 0.000 0.415
0.000 0.500 0.585
0.000 0.751 0.119
0.000 0.249 0.119
0.500 0.251 0.881
0.500 0.749 0.881
0.000 0.000 0.438
0.500 0.500 0.562
```

Output
For the calculated density, the calculation gives 13.98 Mg/m³. As for the energy relative to the elements: 2.88 eV per formula unit. The excess energy over the best structure of this formula in the dataset is 4.33 eV per formula unit. For the total magnetic moment, the calculation gives 0.00 μB per cell.